# 1
Here is an optimized crystal structure of Lu4Ge2C from Alexandria. Energies are from PBE.

Energy of formation from the pure elements (kcal/mol of atoms): -15.97
Volume (Å³/cell): 154.7
Magnetization (μB per formula unit): 0.0
Space-group type: No. 139
Energy (eV/atom): -5.91

The structure in POSCAR format:
```
Lu4Ge2C
1.0
-2.284 2.284 7.413
2.284 -2.284 7.413
2.284 2.284 -7.413
Lu Ge C
4 2 1
Direct
0.000 0.500 0.500
0.166 0.166 0.000
0.500 0.000 0.500
0.834 0.834 0.000
0.362 0.362 0.000
0.638 0.638 0.000
0.000 0.000 0.000
```


# 2
Here is an optimized crystal structure of K3Li2UCl9 from Alexandria. Energies are from PBE.

Volume (Å³/cell): 430.7
Formation energy (no corrections) (eV/atom): -1.8337
Magnetization (μB per formula unit): 2.0
Space-group type: No. 164
Energy (eV/atom): -4.17

The structure in POSCAR format:
```
K3Li2UCl9
1.0
7.295 0.000 0.000
-3.648 6.318 0.000
0.000 0.000 9.345
K Li U Cl
3 2 1 9
Direct
0.000 0.000 0.000
0.333 0.667 0.740
0.667 0.333 0.260
0.333 0.667 0.120
0.667 0.333 0.880
0.000 0.000 0.500
0.000 0.500 0.000
0.167 0.333 0.333
0.167 0.833 0.333
0.333 0.167 0.667
0.500 0.000 0.000
0.500 0.500 0.000
0.667 0.833 0.333
0.833 0.167 0.667
0.833 0.667 0.667
```


# 3
Here is an optimized crystal structure of PmPuIn2 from Alexandria. Energies are from PBE.

Energy of formation from the pure elements (kcal/mol of atoms): -2.80
Volume (Å³/cell): 114.8
Magnetization (μB per formula unit): 6.0
Space-group type: No. 166
Energy (eV/atom): -6.26

The structure in POSCAR format:
```
PmPuIn2
1.0
1.762 1.017 10.676
-1.762 1.017 10.676
0.000 -2.035 10.676
Pm Pu In
1 1 2
Direct
0.000 0.000 0.000
0.500 0.500 0.500
0.250 0.250 0.250
0.750 0.750 0.750
```


# 4
Here is an optimized crystal structure of Ho5Te2Os from Alexandria. Energies are from PBE.

Polymorph energy (0 for the lowest one) (meV/atom): 0.0
Volume (Å³/cell): 437.2
Formation energy (no corrections) (eV/atom): -0.7291
Magnetization (μB per formula unit): 0.0
Space-group type: No. 55
Energy (eV/atom): -5.78

The structure in POSCAR format:
```
Ho5Te2Os
1.0
8.049 0.000 0.000
0.000 12.743 0.000
0.000 0.000 4.263
Ho Te Os
10 4 2
Direct
0.000 0.000 0.000
0.158 0.313 0.000
0.173 0.578 0.500
0.327 0.078 0.500
0.342 0.813 0.000
0.500 0.500 0.000
0.658 0.187 0.000
0.673 0.922 0.500
0.827 0.422 0.500
0.842 0.687 0.000
0.047 0.823 0.500
0.453 0.323 0.500
0.547 0.677 0.500
0.953 0.177 0.500
0.000 0.500 0.000
0.500 0.000 0.000
```


# 5
Here is an optimized crystal structure of La2PtI4 from Alexandria. Energies are from PBE.

Volume (Å³/cell): 742.2
Formation energy (no corrections) (eV/atom): -1.2103
Magnetization (μB per formula unit): 0.0
Space-group type: No. 136
Energy (eV/atom): -4.37

The structure in POSCAR format:
```
La2PtI4
1.0
13.406 0.000 0.000
0.000 13.406 0.000
0.000 0.000 4.130
La Pt I
4 2 8
Direct
0.112 0.112 0.000
0.388 0.612 0.500
0.612 0.388 0.500
0.888 0.888 0.000
0.000 0.000 0.500
0.500 0.500 0.000
0.060 0.285 0.500
0.215 0.560 0.000
0.285 0.060 0.500
0.440 0.785 0.000
0.560 0.215 0.000
0.715 0.940 0.500
0.785 0.440 0.000
0.940 0.715 0.500
```


# 6
Here is an optimized crystal structure of Pm4GaGeI2 from Alexandria. Energies are from PBE.

Volume (Å³/cell): 248.0
Formation energy (no corrections) (eV/atom): -0.8928
Magnetization (μB per formula unit): 0.0
Space-group type: No. 10
Energy (eV/atom): -4.61

The structure in POSCAR format:
```
Pm4GaGeI2
1.0
7.579 0.000 0.000
0.000 4.346 0.000
-2.508 0.000 7.528
Pm Ga Ge I
4 1 1 2
Direct
0.235 0.000 0.202
0.265 0.500 0.795
0.735 0.500 0.205
0.765 0.000 0.798
0.500 0.000 0.000
0.000 0.500 0.000
0.000 0.000 0.500
0.500 0.500 0.500
```


# 7
Here is an optimized crystal structure of YHfNb2O from Alexandria. Energies are from PBE.

Volume (Å³/cell): 125.9
Formation energy (no corrections) (eV/atom): 2.3690
Magnetization (μB per formula unit): 0.0
Space-group type: No. 123
Energy (eV/atom): -5.93

The structure in POSCAR format:
```
YHfNb2O
1.0
4.823 0.000 0.000
0.000 4.823 0.000
0.000 0.000 5.414
Y Hf Nb O
1 1 2 1
Direct
0.000 0.000 0.000
0.000 0.000 0.500
0.000 0.500 0.000
0.500 0.000 0.000
0.500 0.500 0.500
```


# 8
Here is an optimized crystal structure of CsNpNiS4 from Alexandria. Energies are from PBE.

Volume (Å³/cell): 341.3
Formation energy (no corrections) (eV/atom): -0.9400
Magnetization (μB per formula unit): 1.2
Space-group type: No. 11
Energy (eV/atom): -6.10

The structure in POSCAR format:
```
CsNpNiS4
1.0
6.494 0.000 0.000
0.000 5.722 0.000
-2.568 0.000 9.185
Cs Np Ni S
2 2 2 8
Direct
0.244 0.250 0.047
0.756 0.750 0.953
0.259 0.250 0.550
0.741 0.750 0.450
0.234 0.750 0.354
0.766 0.250 0.646
0.015 0.515 0.688
0.015 0.985 0.688
0.429 0.750 0.579
0.451 0.750 0.208
0.549 0.250 0.792
0.571 0.250 0.421
0.985 0.015 0.312
0.985 0.485 0.312
```


# 9
Here is an optimized crystal structure of Ac5DyTl6 from Alexandria. Energies are from PBE.

Energy of formation from the pure elements (kcal/mol of atoms): -7.80
Volume (Å³/cell): 407.5
Magnetization (μB per formula unit): 0.0
Space-group type: No. 12
Energy (eV/atom): -3.62

The structure in POSCAR format:
```
Ac5DyTl6
1.0
4.983 -8.670 0.000
4.983 8.670 0.000
-3.347 0.000 4.717
Ac Dy Tl
5 1 6
Direct
0.000 0.000 0.000
0.163 0.837 0.500
0.324 0.676 0.000
0.676 0.324 0.000
0.837 0.163 0.500
0.500 0.500 0.500
0.106 0.423 0.266
0.275 0.275 0.777
0.423 0.106 0.266
0.577 0.894 0.734
0.725 0.725 0.223
0.894 0.577 0.734
```


# 10
Here is an optimized crystal structure of CrReNi2 from Alexandria. Energies are from PBE.

Energy of formation from the pure elements (kcal/mol of atoms): 11.90
Polymorph energy (0 for the lowest one) (meV/atom): 511.3
Volume (Å³/cell): 104.2
Magnetization (μB per formula unit): 0.0
Space-group type: No. 122
Energy (eV/atom): -7.89

The structure in POSCAR format:
```
CrReNi2
1.0
-1.730 1.730 8.703
1.730 -1.730 8.703
1.730 1.730 -8.703
Cr Re Ni
2 2 4
Direct
0.000 0.000 0.000
0.750 0.250 0.500
0.250 0.750 0.500
0.500 0.500 0.000
0.119 0.625 0.994
0.375 0.369 0.494
0.631 0.125 0.006
0.875 0.881 0.506
```


# 11
Here is an optimized crystal structure of BaRuN3 from Alexandria. Energies are from PBE.

Volume (Å³/cell): 85.3
Formation energy (no corrections) (eV/atom): 3.1708
Magnetization (μB per formula unit): 0.0
Space-group type: No. 221
Energy (eV/atom): -4.06

The structure in POSCAR format:
```
BaRuN3
1.0
4.402 0.000 0.000
0.000 4.402 0.000
0.000 0.000 4.402
Ba Ru N
1 1 3
Direct
0.000 0.000 0.000
0.500 0.500 0.500
0.000 0.000 0.500
0.000 0.500 0.000
0.500 0.000 0.000
```


# 12
Here is an optimized crystal structure of Sr2PuSn3Pt4 from Alexandria. Energies are from PBE.

Energy of formation from the pure elements (kcal/mol of atoms): -17.93
Volume (Å³/cell): 245.6
Magnetization (μB per formula unit): 5.4
Space-group type: No. 115
Energy (eV/atom): -6.16

The structure in POSCAR format:
```
Sr2PuSn3Pt4
1.0
4.718 0.000 0.000
0.000 4.718 0.000
0.000 0.000 11.033
Sr Pu Sn Pt
2 1 3 4
Direct
0.000 0.500 0.229
0.500 0.000 0.771
0.000 0.000 0.500
0.000 0.500 0.881
0.500 0.000 0.119
0.500 0.500 0.500
0.000 0.000 0.000
0.000 0.500 0.641
0.500 0.000 0.359
0.500 0.500 0.000
```


# 13
Here is an optimized crystal structure of CaAlVNi from Alexandria. Energies are from PBE.

Energy of formation from the pure elements (kcal/mol of atoms): -0.02
Polymorph energy (0 for the lowest one) (meV/atom): 65.1
Volume (Å³/cell): 81.1
Magnetization (μB per formula unit): 0.0
Space-group type: No. 160
Energy (eV/atom): -5.16

The structure in POSCAR format:
```
CaAlVNi
1.0
2.058 1.188 5.531
-2.058 1.188 5.531
0.000 -2.376 5.531
Ca Al V Ni
1 1 1 1
Direct
0.000 0.000 0.000
0.460 0.460 0.460
0.193 0.193 0.193
0.825 0.825 0.825
```


# 14
Here is an optimized crystal structure of LiCd4Au3 from Alexandria. Energies are from PBE.

Energy of formation from the pure elements (kcal/mol of atoms): -5.00
Polymorph energy (0 for the lowest one) (meV/atom): 0.0
Volume (Å³/cell): 163.9
Magnetization (μB per formula unit): 0.0
Space-group type: No. 71
Energy (eV/atom): -2.14

The structure in POSCAR format:
```
LiCd4Au3
1.0
-1.522 4.040 6.665
1.522 -4.040 6.665
1.522 4.040 -6.665
Li Cd Au
1 4 3
Direct
0.000 0.000 0.000
0.158 0.858 0.301
0.443 0.142 0.301
0.557 0.858 0.699
0.842 0.142 0.699
0.170 0.670 0.500
0.500 0.500 0.000
0.830 0.330 0.500
```


# 15
Here is an optimized crystal structure of VPbCl2 from Alexandria. Energies are from PBE.

Polymorph energy (0 for the lowest one) (meV/atom): 0.0
Volume (Å³/cell): 117.0
Formation energy (no corrections) (eV/atom): -0.6908
Magnetization (μB per formula unit): 3.0
Space-group type: No. 166
Energy (eV/atom): -4.82

The structure in POSCAR format:
```
VPbCl2
1.0
1.758 1.015 10.928
-1.758 1.015 10.928
0.000 -2.030 10.928
V Pb Cl
1 1 2
Direct
0.000 0.000 0.000
0.500 0.500 0.500
0.376 0.376 0.376
0.624 0.624 0.624
```


# 16
Here is an optimized crystal structure of Nd12Co6Te from Alexandria. Energies are from PBE.

Volume (Å³/cell): 509.1
Formation energy (no corrections) (eV/atom): -0.2057
Magnetization (μB per formula unit): 0.0
Space-group type: No. 204
Energy (eV/atom): -5.63

The structure in POSCAR format:
```
Nd12Co6Te
1.0
-5.030 5.030 5.030
5.030 -5.030 5.030
5.030 5.030 -5.030
Nd Co Te
12 6 1
Direct
0.113 0.309 0.804
0.196 0.504 0.309
0.196 0.887 0.691
0.309 0.196 0.504
0.309 0.804 0.113
0.496 0.691 0.804
0.504 0.309 0.196
0.691 0.196 0.887
0.691 0.804 0.496
0.804 0.113 0.309
0.804 0.496 0.691
0.887 0.691 0.196
0.110 0.500 0.610
0.390 0.890 0.500
0.500 0.390 0.890
0.500 0.610 0.110
0.610 0.110 0.500
0.890 0.500 0.390
0.000 0.000 0.000
```


# 17
Here is an optimized crystal structure of LaPrMgGe from Alexandria. Energies are from PBE.

Energy of formation from the pure elements (kcal/mol of atoms): -8.90
Volume (Å³/cell): 109.6
Magnetization (μB per formula unit): 0.0
Space-group type: No. 216
Energy (eV/atom): -4.37

The structure in POSCAR format:
```
LaPrMgGe
1.0
0.000 3.798 3.798
3.798 0.000 3.798
3.798 3.798 0.000
La Pr Mg Ge
1 1 1 1
Direct
0.000 0.000 0.000
0.500 0.500 0.500
0.250 0.250 0.250
0.750 0.750 0.750
```


# 18
Here is an optimized crystal structure of FeTe2W from Alexandria. Energies are from PBE.

Polymorph energy (0 for the lowest one) (meV/atom): 600.5
Volume (Å³/cell): 74.1
Formation energy (no corrections) (eV/atom): 0.5644
Magnetization (μB per formula unit): 2.3
Space-group type: No. 123
Energy (eV/atom): -6.36

The structure in POSCAR format:
```
FeTe2W
1.0
3.342 0.000 0.000
0.000 3.342 0.000
0.000 0.000 6.638
Fe Te W
1 2 1
Direct
0.000 0.000 0.000
0.500 0.500 0.250
0.500 0.500 0.750
0.000 0.000 0.500
```


# 19
Here is an optimized crystal structure of InTcS from Alexandria. Energies are from PBE.

Polymorph energy (0 for the lowest one) (meV/atom): 0.0
Volume (Å³/cell): 125.7
Formation energy (no corrections) (eV/atom): -0.3491
Magnetization (μB per formula unit): 0.0
Space-group type: No. 6
Energy (eV/atom): -6.09

The structure in POSCAR format:
```
InTcS
1.0
6.527 0.000 0.000
0.000 3.116 0.000
-2.529 0.000 6.182
In Tc S
2 2 2
Direct
0.000 0.000 0.000
0.010 0.500 0.509
0.326 0.000 0.417
0.678 0.500 0.666
0.493 0.000 0.796
0.505 0.500 0.285
```


# 20
Here is an optimized crystal structure of La3VRu from Alexandria. Energies are from PBE.

Energy of formation from the pure elements (kcal/mol of atoms): 18.86
Volume (Å³/cell): 139.9
Magnetization (μB per formula unit): 0.4
Space-group type: No. 221
Energy (eV/atom): -5.82

The structure in POSCAR format:
```
La3VRu
1.0
5.192 0.000 0.000
0.000 5.192 0.000
0.000 0.000 5.192
La V Ru
3 1 1
Direct
0.000 0.000 0.500
0.000 0.500 0.000
0.500 0.000 0.000
0.000 0.000 0.000
0.500 0.500 0.500
```


# 21
Here is an optimized crystal structure of AuBr5 from Alexandria. Energies are from PBE.

Polymorph energy (0 for the lowest one) (meV/atom): 0.0
Volume (Å³/cell): 234.4
Formation energy (no corrections) (eV/atom): 0.0589
Magnetization (μB per formula unit): 0.1
Space-group type: No. 8
Energy (eV/atom): -1.88

The structure in POSCAR format:
```
AuBr5
1.0
8.812 -1.898 0.000
8.812 1.898 0.000
-1.111 0.000 7.008
Au Br
1 5
Direct
0.000 0.000 0.000
0.254 0.254 0.618
0.499 0.499 0.246
0.503 0.503 0.755
0.756 0.756 0.291
0.757 0.757 0.950
```


# 22
Here is an optimized crystal structure of LiCu2Ni3 from Alexandria. Energies are from PBE.

Energy of formation from the pure elements (kcal/mol of atoms): 3.20
Volume (Å³/cell): 138.3
Magnetization (μB per formula unit): 0.0
Space-group type: No. 194
Energy (eV/atom): -4.44

The structure in POSCAR format:
```
LiCu2Ni3
1.0
4.652 0.000 0.000
-2.326 4.029 0.000
0.000 0.000 7.380
Li Cu Ni
2 4 6
Direct
0.000 0.000 0.000
0.000 0.000 0.500
0.333 0.667 0.072
0.333 0.667 0.428
0.667 0.333 0.572
0.667 0.333 0.928
0.170 0.340 0.750
0.170 0.830 0.750
0.340 0.170 0.250
0.660 0.830 0.750
0.830 0.170 0.250
0.830 0.660 0.250
```


# 23
Here is an optimized crystal structure of AlFePtS2 from Alexandria. Energies are from PBE.

Volume (Å³/cell): 96.7
Formation energy (no corrections) (eV/atom): 0.5495
Magnetization (μB per formula unit): 3.5
Space-group type: No. 123
Energy (eV/atom): -4.75

The structure in POSCAR format:
```
AlFePtS2
1.0
4.488 0.000 0.000
0.000 4.488 0.000
0.000 0.000 4.802
Al Fe Pt S
1 1 1 2
Direct
0.000 0.000 0.000
0.500 0.500 0.500
0.000 0.000 0.500
0.000 0.500 0.000
0.500 0.000 0.000
```